First-principles (PBEsol) data for crystalline LaYSc2 at its relaxed geometry, as listed in Alexandria via LeMat-Bulk.

Unit cell a=3.4299 b=5.7511 c=5.8613 alpha=109.27 beta=90.00 gamma=90.00
Fractional positions:
Y 0.5000 0.5000 0.0000
Sc 0.0000 0.0000 0.0000
Sc 0.5000 0.0000 0.5000
La 0.0000 0.5000 0.5000

Energy relative to the elements, kJ per mole of atoms: 5.8
Uncorrected energy, eV per atom: -6.28
Volume, Å³ per cell: 109
M_tot, μB/atom: 0.000
Energy relative to the lowest polymorph listed for this composition, eV/atom: 0.015



First-principles (PBEsol) data for crystalline TiPS2Cl at its relaxed geometry, as listed in Alexandria via LeMat-Bulk.

Unit cell a=4.4334 b=4.5345 c=4.5345 alpha=90.00 beta=90.00 gamma=90.00
Fractional positions:
P 0.0000 0.0000 0.0000
S 0.0000 0.0000 0.5000
S 0.0000 0.5000 0.0000
Cl 0.5000 0.0000 0.0000
Ti 0.5000 0.5000 0.5000

Uncorrected energy, eV per atom: -4.85
Volume, Å³ per cell: 91
Formation energy from raw total energies, eV per atom: 0.125
M_tot, μB/atom: 0.373



Q: Which of these has the lowest volume?
A: TiPS2Cl



Q: Look up the volume of the first one.
A: 109 Å³ per cell



Q: Which value of volume does entry 1 give?
A: 109 Å³ per cell